# 1
Compound: Er2MgTl3Se6
Source: Alexandria
Functional: PBE
Structure: optimized geometry

Unit cell a=7.165 b=7.165 c=7.866 alpha=98.73 beta=98.73 gamma=120.04
Sites, in units of the cell vectors:
Er: 0.166 0.834 0.000
Er: 0.834 0.166 0.000
Mg: 0.500 0.500 0.000
Tl: 0.000 0.000 0.500
Tl: 0.331 0.669 0.500
Tl: 0.669 0.331 0.500
Se: 0.104 0.432 0.796
Se: 0.240 0.240 0.205
Se: 0.432 0.104 0.796
Se: 0.568 0.896 0.204
Se: 0.760 0.760 0.795
Se: 0.896 0.568 0.204

Computed properties:
For the mass density, the calculation gives 7.208 g/cm³. Its crystal system is monoclinic. Its total magnetic moment is 0.000 μB/f.u. Its formation energy from raw total energies is -1.14 eV/atom. Its uncorrected energy is -52.4 eV/cell.

=====

# 2
Compound: YEr4MgSe8
Source: Alexandria
Functional: PBE
Structure: optimized geometry

Unit cell a=8.296 b=8.296 c=8.296 alpha=59.97 beta=59.97 gamma=59.97
Sites, in units of the cell vectors:
Y: 0.000 0.000 0.000
Er: 0.000 0.000 0.513
Er: 0.000 0.513 0.000
Er: 0.378 0.378 0.378
Er: 0.513 0.000 0.000
Mg: 0.628 0.628 0.628
Se: 0.241 0.756 0.756
Se: 0.245 0.245 0.245
Se: 0.247 0.247 0.777
Se: 0.247 0.777 0.247
Se: 0.756 0.241 0.756
Se: 0.756 0.756 0.241
Se: 0.757 0.757 0.757
Se: 0.777 0.247 0.247

Computed properties:
For the mass density, the calculation gives 5.820 g/cm³. Its crystal system is trigonal. Its total magnetic moment is 0.000 μB/f.u. Its formation energy from raw total energies is -1.71 eV/atom. Its uncorrected energy is -78.2 eV/cell.

=====

# 3
Compound: Y4ErMgSe8
Source: Alexandria
Functional: PBE
Structure: optimized geometry

Unit cell a=8.338 b=8.338 c=8.338 alpha=60.01 beta=60.01 gamma=60.01
Sites, in units of the cell vectors:
Y: 0.000 0.000 0.000
Y: 0.378 0.378 0.865
Y: 0.378 0.865 0.378
Y: 0.865 0.378 0.378
Er: 0.379 0.379 0.379
Mg: 0.750 0.750 0.750
Se: 0.133 0.133 0.133
Se: 0.135 0.135 0.599
Se: 0.135 0.599 0.135
Se: 0.137 0.620 0.620
Se: 0.599 0.135 0.135
Se: 0.620 0.137 0.620
Se: 0.620 0.620 0.137
Se: 0.622 0.622 0.622

Computed properties:
For the mass density, the calculation gives 4.774 g/cm³. Its crystal system is trigonal. Its total magnetic moment is 0.000 μB/f.u. Its formation energy from raw total energies is -1.73 eV/atom. Its uncorrected energy is -84.1 eV/cell.

=====

# 4
Compound: Y3Er3MgSe8
Source: Alexandria
Functional: PBE
Structure: optimized geometry

Unit cell a=8.102 b=8.102 c=8.102 alpha=59.80 beta=59.80 gamma=59.80
Sites, in units of the cell vectors:
Y: 0.000 0.500 0.500
Y: 0.500 0.000 0.500
Y: 0.500 0.500 0.000
Er: 0.000 0.000 0.500
Er: 0.000 0.500 0.000
Er: 0.500 0.000 0.000
Mg: 0.500 0.500 0.500
Se: 0.249 0.249 0.249
Se: 0.253 0.744 0.744
Se: 0.256 0.256 0.747
Se: 0.256 0.747 0.256
Se: 0.744 0.253 0.744
Se: 0.744 0.744 0.253
Se: 0.747 0.256 0.256
Se: 0.751 0.751 0.751

Computed properties:
For the mass density, the calculation gives 6.319 g/cm³. Its crystal system is trigonal. Its total magnetic moment is 0.000 μB/f.u. Its formation energy from raw total energies is -1.75 eV/atom. Its uncorrected energy is -88.7 eV/cell.

=====

Which of these has the lowest formation energy from raw total energies?
Y3Er3MgSe8

=====

What is the formation energy from raw total energies in the second record?
-1.71 eV/atom

=====

Which formula does entry 3 have?
Y4ErMgSe8